The following is a PBE calculation of an optimized crystal structure of CaMgTi, from Alexandria.

Lattice parameters (Å, degrees): 6.803 3.290 7.413 105.49 85.81 76.98
Sites, in units of the cell vectors:
Mg 0.920 0.334 0.143
Mg 0.533 0.110 0.245
Ca 0.326 0.516 0.900
Ca 0.127 0.928 0.488
Ti 0.780 0.648 0.818
Ti 0.673 0.795 0.571

DOS at the Fermi energy = 6.511 states/eV per cell
Total magnetization = 0.0 μB/cell
Offset from the most stable computed form = 68 meV/atom
Theoretical density = 2.4 g/cm3
E_form = 0.33 eV per atom